[1]
KNbSb2I: relaxed, PBE.

Geometry as POSCAR:
```
KNbSb2I
1.0
5.718 0.000 0.000
0.000 5.718 0.000
0.000 0.000 5.804
K Nb Sb I
1 1 2 1
Cartesian
0.000 0.000 0.000
2.859 2.859 2.902
0.000 2.859 0.000
2.859 0.000 0.000
0.000 0.000 2.902
```

Distance to the lowest polymorph of the same formula, meV per atom: 1893
Size of the total moment, μB/f.u.: 0.54
D(E_F), states/eV/cell: 7.68
Raw formation energy, eV/atom: 1.7268
Symmetry: P4/mmm



[2]
NaPaTlHg: relaxed, PBE.

Geometry as POSCAR:
```
NaPaTlHg
1.0
7.455 0.000 0.000
0.000 7.455 0.000
0.000 0.000 7.455
Na Pa Tl Hg
4 4 4 4
Cartesian
0.000 0.000 0.000
0.000 3.727 3.727
3.727 0.000 3.727
3.727 3.727 0.000
0.000 0.000 3.727
0.000 3.727 0.000
3.727 0.000 0.000
3.727 3.727 3.727
1.864 1.864 1.864
1.864 5.591 5.591
5.591 1.864 5.591
5.591 5.591 1.864
1.864 1.864 5.591
1.864 5.591 1.864
5.591 1.864 1.864
5.591 5.591 5.591
```

Size of the total moment, μB/f.u.: 1.14
Energy of formation, meV/atom: 154
D(E_F), states/eV/cell: 24.46
Symmetry: F-43m